# Sb2PPb

An optimized crystal structure of Sb2PPb (PBE, Alexandria).

```
data_Sb2PPb
_chemical_formula_sum 'Sb4 P2 Pb2'
_space_group_name_H-M_alt 'C 1 2/m 1'
_space_group_IT_number 12
_space_group_name_Hall '-C 2y'
_cell_length_a 11.801
_cell_length_b 3.642
_cell_length_c 5.309
_cell_angle_alpha 90.00
_cell_angle_beta 115.76
_cell_angle_gamma 90.00
loop_
_atom_site_label
_atom_site_type_symbol
_atom_site_fract_x
_atom_site_fract_y
_atom_site_fract_z
Sb1 Sb 0.201 0.000 0.198
P1 P 0.000 0.500 0.000
Pb1 Pb 0.000 0.000 0.500
```

raw total energy	-4.154	eV/atom
uncorrected formation energy	187	meV/atom
mass density	7.8	Mg/m³
total magnetic moment	0.00	μB per formula unit
distance to the lowest polymorph of the same formula	105	meV/atom

# SbP2Pb

An optimized crystal structure of SbP2Pb (PBE, Alexandria).

```
data_SbP2Pb
_chemical_formula_sum 'Sb2 P4 Pb2'
_space_group_name_H-M_alt 'C 1 m 1'
_space_group_IT_number 8
_space_group_name_Hall 'C -2y'
_cell_length_a 12.476
_cell_length_b 3.906
_cell_length_c 4.112
_cell_angle_alpha 90.00
_cell_angle_beta 92.34
_cell_angle_gamma 90.00
loop_
_atom_site_label
_atom_site_type_symbol
_atom_site_fract_x
_atom_site_fract_y
_atom_site_fract_z
Sb1 Sb 0.000 0.000 0.000
P1 P 0.283 0.000 0.548
P2 P 0.456 0.000 0.561
Pb1 Pb 0.231 0.500 0.048
```

raw total energy	-4.555	eV/atom
uncorrected formation energy	108	meV/atom
mass density	6.5	Mg/m³
total magnetic moment	0.00	μB per formula unit
distance to the lowest polymorph of the same formula	43	meV/atom

# SbP2Pb

An optimized crystal structure of SbP2Pb (PBE, Alexandria).

```
data_SbP2Pb
_chemical_formula_sum 'Sb1 P2 Pb1'
_space_group_name_H-M_alt 'P 1 m 1'
_space_group_IT_number 6
_space_group_name_Hall 'P -2y'
_cell_length_a 5.586
_cell_length_b 3.305
_cell_length_c 6.006
_cell_angle_alpha 90.00
_cell_angle_beta 90.94
_cell_angle_gamma 90.00
loop_
_atom_site_label
_atom_site_type_symbol
_atom_site_fract_x
_atom_site_fract_y
_atom_site_fract_z
Sb1 Sb 0.000 0.000 0.000
P1 P 0.500 0.000 0.103
P2 P 0.504 0.500 0.345
Pb1 Pb 0.005 0.500 0.506
```

raw total energy	-4.597	eV/atom
uncorrected formation energy	66	meV/atom
mass density	5.9	Mg/m³
total magnetic moment	0.00	μB per formula unit
distance to the lowest polymorph of the same formula	1	meV/atom

# SbP2Pb2

An optimized crystal structure of SbP2Pb2 (PBE, Alexandria).

```
data_SbP2Pb2
_chemical_formula_sum 'Sb2 P4 Pb4'
_space_group_name_H-M_alt 'P 4/m b m'
_space_group_IT_number 127
_space_group_name_Hall '-P 4 2ab'
_cell_length_a 7.909
_cell_length_b 7.909
_cell_length_c 4.076
_cell_angle_alpha 90.00
_cell_angle_beta 90.00
_cell_angle_gamma 90.00
loop_
_atom_site_label
_atom_site_type_symbol
_atom_site_fract_x
_atom_site_fract_y
_atom_site_fract_z
Sb1 Sb 0.000 0.000 0.000
P1 P 0.177 0.323 0.000
Pb1 Pb 0.147 0.647 0.500
```

raw total energy	-4.236	eV/atom
uncorrected formation energy	236	meV/atom
mass density	7.8	Mg/m³
total magnetic moment	0.00	μB per formula unit
distance to the lowest polymorph of the same formula	39	meV/atom

# SbP2Pb

An optimized crystal structure of SbP2Pb (PBE, Alexandria).

```
data_SbP2Pb
_chemical_formula_sum 'Sb1 P2 Pb1'
_space_group_name_H-M_alt 'P 1'
_space_group_IT_number 1
_space_group_name_Hall 'P 1'
_cell_length_a 3.979
_cell_length_b 4.148
_cell_length_c 6.479
_cell_angle_alpha 80.77
_cell_angle_beta 89.77
_cell_angle_gamma 89.96
loop_
_atom_site_label
_atom_site_type_symbol
_atom_site_fract_x
_atom_site_fract_y
_atom_site_fract_z
Sb1 Sb 0.000 0.000 0.000
P1 P 0.497 0.506 0.432
P2 P 0.500 0.575 0.093
Pb1 Pb 0.997 0.012 0.516
```

raw total energy	-4.566	eV/atom
uncorrected formation energy	97	meV/atom
mass density	6.2	Mg/m³
total magnetic moment	0.00	μB per formula unit
distance to the lowest polymorph of the same formula	32	meV/atom

# Sb2PPb

An optimized crystal structure of Sb2PPb (PBE, Alexandria).

```
data_Sb2PPb
_chemical_formula_sum 'Sb6 P3 Pb3'
_space_group_name_H-M_alt 'R -3 m'
_space_group_IT_number 166
_space_group_name_Hall '-R 3 2"'
_cell_length_a 3.7147
_cell_length_b 3.7147
_cell_length_c 26.7918
_cell_angle_alpha 90.00
_cell_angle_beta 90.00
_cell_angle_gamma 120.00
loop_
_atom_site_label
_atom_site_type_symbol
_atom_site_fract_x
_atom_site_fract_y
_atom_site_fract_z
Sb1 Sb 0.0000 0.0000 0.2312
P1 P 0.0000 0.0000 0.5000
Pb1 Pb 0.0000 0.0000 0.0000
```

raw total energy	-4.179	eV/atom
uncorrected formation energy	161	meV/atom
mass density	7.5	Mg/m³
total magnetic moment	0.00	μB per formula unit
distance to the lowest polymorph of the same formula	80	meV/atom

# Sb2PPb

An optimized crystal structure of Sb2PPb (PBE, Alexandria).

```
data_Sb2PPb
_chemical_formula_sum 'Sb2 P1 Pb1'
_space_group_name_H-M_alt 'P 4/m m m'
_space_group_IT_number 123
_space_group_name_Hall '-P 4 2'
_cell_length_a 4.383
_cell_length_b 4.383
_cell_length_c 5.448
_cell_angle_alpha 90.00
_cell_angle_beta 90.00
_cell_angle_gamma 90.00
loop_
_atom_site_label
_atom_site_type_symbol
_atom_site_fract_x
_atom_site_fract_y
_atom_site_fract_z
Sb1 Sb 0.000 0.500 0.000
P1 P 0.000 0.000 0.500
Pb1 Pb 0.500 0.500 0.500
```

raw total energy	-3.948	eV/atom
uncorrected formation energy	393	meV/atom
mass density	7.6	Mg/m³
total magnetic moment	0.00	μB per formula unit
distance to the lowest polymorph of the same formula	311	meV/atom

# SbP2Pb

An optimized crystal structure of SbP2Pb (PBE, Alexandria).

```
data_SbP2Pb
_chemical_formula_sum 'Sb4 P8 Pb4'
_space_group_name_H-M_alt 'F m -3 m'
_space_group_IT_number 225
_space_group_name_Hall '-F 4 2 3'
_cell_length_a 7.031
_cell_length_b 7.031
_cell_length_c 7.031
_cell_angle_alpha 90.00
_cell_angle_beta 90.00
_cell_angle_gamma 90.00
loop_
_atom_site_label
_atom_site_type_symbol
_atom_site_fract_x
_atom_site_fract_y
_atom_site_fract_z
Sb1 Sb 0.000 0.000 0.000
P1 P 0.250 0.250 0.250
Pb1 Pb 0.000 0.000 0.500
```

raw total energy	-4.190	eV/atom
uncorrected formation energy	472	meV/atom
mass density	7.5	Mg/m³
total magnetic moment	0.00	μB per formula unit
distance to the lowest polymorph of the same formula	408	meV/atom

What is the mass density in the sixth record? 7.5 Mg/m³

Which value of uncorrected formation energy does entry 1 give? 187 meV/atom